VASP calculation (PBE-GGA) on a relaxed LaYGaSi crystal.

Calculated values
* E above lowest polymorph: 198 meV per atom
* uncorrected energy: -5.4761 eV per atom
* energy relative to the elements, uncorrected: -0.52 eV per atom

abc: 7.294 7.294 7.294
angles: 90.00 90.00 90.00
Atoms (fractional coordinates):
La 0.000 0.000 0.000
La 0.000 0.500 0.500
La 0.500 0.000 0.500
La 0.500 0.500 0.000
Y 0.000 0.000 0.500
Y 0.000 0.500 0.000
Y 0.500 0.000 0.000
Y 0.500 0.500 0.500
Ga 0.250 0.250 0.750
Ga 0.250 0.750 0.250
Ga 0.750 0.250 0.250
Ga 0.750 0.750 0.750
Si 0.250 0.250 0.250
Si 0.250 0.750 0.750
Si 0.750 0.250 0.750
Si 0.750 0.750 0.250

VASP calculation (PBE-GGA) on a relaxed LaSm2Ga crystal.

Calculated values
* E above lowest polymorph: 213 meV per atom
* uncorrected energy: -4.3999 eV per atom
* E_form: -52 meV/atom

abc: 3.581 3.581 34.388
angles: 90.00 90.00 120.00
Atoms (fractional coordinates):
La 0.000 0.000 0.000
La 0.333 0.667 0.667
La 0.667 0.333 0.333
Sm 0.000 0.000 0.103
Sm 0.000 0.000 0.897
Sm 0.333 0.667 0.564
Sm 0.333 0.667 0.769
Sm 0.667 0.333 0.231
Sm 0.667 0.333 0.436
Ga 0.000 0.000 0.500
Ga 0.333 0.667 0.167
Ga 0.667 0.333 0.833

VASP calculation (PBE-GGA) on a relaxed La2SmGa2 crystal.

Calculated values
* uncorrected energy: -4.5963 eV per atom
* E_form: -471 meV/atom

abc: 4.903 6.916 8.318
angles: 90.00 90.00 90.00
Atoms (fractional coordinates):
La 0.000 0.000 0.194
La 0.000 0.000 0.806
La 0.500 0.500 0.306
La 0.500 0.500 0.694
Sm 0.000 0.500 0.000
Sm 0.500 0.000 0.500
Ga 0.000 0.298 0.500
Ga 0.000 0.702 0.500
Ga 0.500 0.202 0.000
Ga 0.500 0.798 0.000

VASP calculation (PBE-GGA) on a relaxed LaSmGa3 crystal.

Calculated values
* uncorrected energy: -4.4127 eV per atom
* E_form: -667 meV/atom

abc: 13.283 13.283 4.270
angles: 90.00 90.00 160.79
Atoms (fractional coordinates):
La 0.074 0.926 0.750
La 0.926 0.074 0.250
Sm 0.203 0.797 0.250
Sm 0.797 0.203 0.750
Ga 0.324 0.676 0.250
Ga 0.380 0.620 0.750
Ga 0.476 0.524 0.750
Ga 0.524 0.476 0.250
Ga 0.620 0.380 0.250
Ga 0.676 0.324 0.750

Copy entry 3 word for word.
VASP calculation (PBE-GGA) on a relaxed La2SmGa2 crystal.

Calculated values
* uncorrected energy: -4.5963 eV per atom
* E_form: -471 meV/atom

abc: 4.903 6.916 8.318
angles: 90.00 90.00 90.00
Atoms (fractional coordinates):
La 0.000 0.000 0.194
La 0.000 0.000 0.806
La 0.500 0.500 0.306
La 0.500 0.500 0.694
Sm 0.000 0.500 0.000
Sm 0.500 0.000 0.500
Ga 0.000 0.298 0.500
Ga 0.000 0.702 0.500
Ga 0.500 0.202 0.000
Ga 0.500 0.798 0.000